# Cs3IBr6

Cs3IBr6 after structural relaxation (PBE, the Alexandria database).

extended XYZ file:
```
20
Lattice="-5.484 1.704 0.737 -2.757 -6.899 -4.558 -1.569 -10.127 16.279" Properties=species:S:1:pos:R:3 pbc="T T T"
Br -3.831 -6.307 -2.083
Br -5.950 -1.877 5.623
Br -6.880 -9.321 7.215
Cs -3.389 -2.407 3.257
Cs -0.785 -5.063 8.139
Cs -7.488 -8.051 10.819
Cs -4.120 -2.598 -1.910
Cs -2.322 -7.271 1.640
Br -2.931 -6.001 5.243
Cs -6.421 -12.915 9.201
Br -6.293 -0.890 0.935
Br -5.979 -9.015 14.542
Br -3.861 -13.444 6.835
Br -3.517 -14.431 11.524
Br -5.492 -8.560 3.724
Br -4.318 -6.762 8.734
Br -4.710 -4.756 0.896
Br -5.100 -10.565 11.562
I -4.905 -7.661 6.229
I 0.000 0.000 0.000
```

Properties
V (Å³/atom): 48.51
M_tot (μB per formula unit): 0.000
Formation energy without anion corrections (eV per formula unit): -11.02
Space group: P2_1/c (14)
Energy relative to the lowest polymorph listed for this composition (eV per atom): 0.000



# YPaOsRu

YPaOsRu after structural relaxation (PBE, the Alexandria database).

extended XYZ file:
```
4
Lattice="-3.133 3.356 -1.570 -4.017 0.950 2.550 -0.430 4.213 2.368" Properties=species:S:1:pos:R:3 pbc="T T T"
Pa 0.000 0.000 0.000
Y -3.790 4.260 1.674
Ru -5.686 6.390 2.512
Os -1.895 2.130 0.837
```

Properties
V (Å³/atom): 20.20
M_tot (μB per formula unit): 0.000
ΔE_f (meV/atom): -306
Space group: F-43m (216)



# Li3ZnCd

Li3ZnCd after structural relaxation (PBE, the Alexandria database).

extended XYZ file:
```
10
Lattice="-2.772 -0.449 -3.493 3.313 -3.080 0.642 -4.679 -7.078 4.624" Properties=species:S:1:pos:R:3 pbc="T T T"
Cd -2.794 -2.983 -0.274
Li -2.207 -5.775 -0.381
Li -1.931 -4.832 2.154
Li -0.314 -4.207 -2.085
Zn -1.025 -1.551 -1.862
Li -4.050 -7.307 1.278
Li -0.088 -3.300 0.494
Zn -3.113 -9.056 3.635
Cd -1.344 -7.623 2.047
Li -3.824 -6.400 3.858
```

Properties
V (Å³/atom): 16.73
M_tot (μB per formula unit): 0.000
ΔE_f (meV/atom): -193
Space group: C2/m (12)
Energy relative to the lowest polymorph listed for this composition (eV per atom): 0.000



Question: Which value of V does entry 1 give?
Answer: 48.51 Å³/atom